DFT (PBEsol) results for a relaxed structure of CuNiP2S.

Results
Formation energy without anion corrections   102 kJ/mol of atoms
Calculated total energy   -21.2 eV/f.u.

The structure in POSCAR format:
```
CuNiP2S
1.0
-1.986 3.200 -2.138
-3.846 -1.726 0.990
-0.125 2.431 3.754
Ni Cu S P
1 1 1 2
Direct
0.500 0.500 0.500
0.000 0.000 0.000
0.000 0.000 0.500
0.000 0.500 0.000
0.500 0.000 0.000
```